# 1
First-principles (PBE) data for a relaxed structure of Na2HN, as listed in Alexandria via LeMat-Bulk.

Unit cell a=2.8077 b=2.8077 c=6.1557 alpha=90.00 beta=90.00 gamma=90.00
Closest atoms and distances in Å follow each position.
Element x y z (fractional)
Na  0.0000  0.0000  0.2488  4 N 2.51, 4 H 2.52, 4 Na 2.81
Na  0.0000  0.0000  0.7512  4 N 2.51, 4 H 2.52, 4 Na 2.81
H  0.5000  0.5000  0.5000  8 Na 2.52, 4 H 2.81
N  0.5000  0.5000  0.0000  8 Na 2.51, 4 N 2.81

Space-group type: P4/mmm (123)
Energy in eV per cell: -11.84
Size of the total moment in μB per cell: 0.15



# 2
First-principles (PBE) data for a relaxed structure of Ti5Nb4Mo, as listed in Alexandria via LeMat-Bulk.

Unit cell a=6.5417 b=6.5417 c=7.3042 alpha=114.71 beta=114.71 gamma=41.32
Closest atoms and distances in Å follow each position.
Element x y z (fractional)
Ti  0.0000  0.0000  0.0000  6 Nb 2.74-2.89
Ti  0.2739  0.2739  0.8776  2 Nb 2.74-3.01, 3 Ti 2.89-3.02
Ti  0.3684  0.3684  0.3365  2 Nb 2.53-2.59, 2 Mo 2.76
Ti  0.6316  0.6316  0.6635  2 Nb 2.53-2.59, 2 Mo 2.76
Ti  0.7261  0.7261  0.1224  2 Nb 2.74-3.01, 3 Ti 2.89-3.02
Nb  0.1842  0.1842  0.4209  1 Mo 2.57, 1 Ti 2.59, 2 Nb 2.76
Nb  0.4641  0.4641  0.7771  4 Ti 2.53-2.74
Nb  0.5359  0.5359  0.2229  4 Ti 2.53-2.74
Nb  0.8158  0.8158  0.5791  1 Mo 2.57, 1 Ti 2.59, 2 Nb 2.76
Mo  0.0000  0.0000  0.5000  2 Nb 2.57, 4 Ti 2.76

Space-group type: C2/m (12)
Size of the total moment in μB per cell: 0.00
ΔH_f (0 K) in meV/atom: 286



# 3
First-principles (PBE) data for a relaxed structure of Li2Pd2F, as listed in Alexandria via LeMat-Bulk.

Unit cell a=6.2743 b=6.2743 c=3.7498 alpha=90.00 beta=90.00 gamma=90.00
Closest atoms and distances in Å follow each position.
Element x y z (fractional)
Li  0.1543  0.3457  0.0000  6 Pd 2.54-2.69, 1 Li 2.74
Li  0.3457  0.8457  0.0000  6 Pd 2.54-2.69, 1 Li 2.74
Li  0.6543  0.1543  0.0000  6 Pd 2.54-2.69, 1 Li 2.74
Li  0.8457  0.6543  0.0000  6 Pd 2.54-2.69, 1 Li 2.74
Pd  0.1529  0.6529  0.5000  2 F 2.38, 2 Li 2.54
Pd  0.3471  0.1529  0.5000  2 F 2.38, 2 Li 2.54
Pd  0.6529  0.8471  0.5000  2 F 2.38, 2 Li 2.54
Pd  0.8471  0.3471  0.5000  2 F 2.38, 2 Li 2.54
F  0.0000  0.0000  0.5000  4 Pd 2.38
F  0.5000  0.5000  0.5000  4 Pd 2.38

Offset from the most stable computed form in kJ/mol of formula units: 0
Space-group type: P4/mbm (127)
Size of the total moment in μB per cell: 0.00
Formation energy from raw total energies in eV/f.u.: -2.5